1.
Below is an optimized crystal structure of In2TcAu, with properties calculated at the PBE-GGA level. Values from VASP.

Properties
* density of states at the Fermi level: 0.67 states/eV per atom
* energy of formation from the pure elements: 0.23 eV per atom

Geometry as Quantum ESPRESSO input:
```
&SYSTEM
  ibrav = 0, nat = 4, ntyp = 3
/
ATOMIC_SPECIES
In 114.82 In.upf
Tc 98.00 Tc.upf
Au 196.97 Au.upf
CELL_PARAMETERS angstrom
4.888 0.000 0.000
0.000 3.168 0.000
-2.063 0.000 4.966
ATOMIC_POSITIONS crystal
In 0.000 0.000 0.000
In 0.000 0.500 0.500
Tc 0.500 0.000 0.500
Au 0.500 0.500 0.000
```


2.
Below is an optimized crystal structure of In2TcWAu, with properties calculated at the PBE-GGA level. Values from VASP.

Properties
* density of states at the Fermi level: 0.82 states/eV per atom
* energy of formation from the pure elements: 1.24 eV per atom

Geometry as Quantum ESPRESSO input:
```
&SYSTEM
  ibrav = 0, nat = 5, ntyp = 4
/
ATOMIC_SPECIES
In 114.82 In.upf
Tc 98.00 Tc.upf
W 183.84 W.upf
Au 196.97 Au.upf
CELL_PARAMETERS angstrom
5.348 0.000 0.000
0.000 5.348 0.000
0.000 0.000 4.642
ATOMIC_POSITIONS crystal
In 0.000 0.500 0.000
In 0.500 0.000 0.000
Tc 0.000 0.000 0.500
W 0.000 0.000 0.000
Au 0.500 0.500 0.500
```


3.
Below is an optimized crystal structure of InTeAu2, with properties calculated at the PBE-GGA level. Values from VASP.

Properties
* density of states at the Fermi level: 0.68 states/eV per atom
* offset from the most stable computed form: 0.70 eV per formula unit
* formation energy (no corrections): 0.08 eV per atom

Geometry as Quantum ESPRESSO input:
```
&SYSTEM
  ibrav = 0, nat = 16, ntyp = 3
/
ATOMIC_SPECIES
In 114.82 In.upf
Te 127.60 Te.upf
Au 196.97 Au.upf
CELL_PARAMETERS angstrom
7.135 0.000 0.000
0.000 7.135 0.000
0.000 0.000 7.135
ATOMIC_POSITIONS crystal
In 0.000 0.000 0.000
In 0.000 0.500 0.500
In 0.500 0.000 0.500
In 0.500 0.500 0.000
Te 0.000 0.000 0.500
Te 0.000 0.500 0.000
Te 0.500 0.000 0.000
Te 0.500 0.500 0.500
Au 0.250 0.250 0.250
Au 0.250 0.250 0.750
Au 0.250 0.750 0.250
Au 0.250 0.750 0.750
Au 0.750 0.250 0.250
Au 0.750 0.250 0.750
Au 0.750 0.750 0.250
Au 0.750 0.750 0.750
```


4.
Below is an optimized crystal structure of InTeAu2, with properties calculated at the PBE-GGA level. Values from VASP.

Properties
* density of states at the Fermi level: 0.43 states/eV per atom
* offset from the most stable computed form: 0.53 eV per formula unit
* formation energy (no corrections): 0.04 eV per atom

Geometry as Quantum ESPRESSO input:
```
&SYSTEM
  ibrav = 0, nat = 4, ntyp = 3
/
ATOMIC_SPECIES
In 114.82 In.upf
Te 127.60 Te.upf
Au 196.97 Au.upf
CELL_PARAMETERS angstrom
3.839 0.000 0.000
0.000 4.077 0.000
0.000 0.000 6.572
ATOMIC_POSITIONS crystal
In 0.000 0.000 0.000
Te 0.500 0.000 0.500
Au 0.000 0.500 0.500
Au 0.500 0.500 0.000
```


5.
Below is an optimized crystal structure of In2TeAu, with properties calculated at the PBE-GGA level. Values from VASP.

Properties
* density of states at the Fermi level: 0.56 states/eV per atom
* formation energy (no corrections): -0.22 eV per atom

Geometry as Quantum ESPRESSO input:
```
&SYSTEM
  ibrav = 0, nat = 8, ntyp = 3
/
ATOMIC_SPECIES
In 114.82 In.upf
Te 127.60 Te.upf
Au 196.97 Au.upf
CELL_PARAMETERS angstrom
7.342 0.000 0.000
0.000 4.280 0.000
-2.512 0.000 6.894
ATOMIC_POSITIONS crystal
In 0.239 0.000 0.218
In 0.261 0.500 0.782
In 0.739 0.500 0.218
In 0.761 0.000 0.782
Te 0.000 0.000 0.500
Te 0.500 0.500 0.500
Au 0.000 0.500 0.000
Au 0.500 0.000 0.000
```


6.
Below is an optimized crystal structure of InTe2Au, with properties calculated at the PBE-GGA level. Values from VASP.

Properties
* density of states at the Fermi level: 0.34 states/eV per atom
* formation energy (no corrections): -0.14 eV per atom

Geometry as Quantum ESPRESSO input:
```
&SYSTEM
  ibrav = 0, nat = 4, ntyp = 3
/
ATOMIC_SPECIES
In 114.82 In.upf
Te 127.60 Te.upf
Au 196.97 Au.upf
CELL_PARAMETERS angstrom
4.314 0.000 0.000
-2.157 3.736 0.000
0.000 0.000 7.601
ATOMIC_POSITIONS crystal
In 0.000 0.000 0.000
Te 0.333 0.667 0.793
Te 0.667 0.333 0.267
Au 0.333 0.667 0.440
```


7.
Below is an optimized crystal structure of InTeAu2, with properties calculated at the PBE-GGA level. Values from VASP.

Properties
* density of states at the Fermi level: 0.34 states/eV per atom
* offset from the most stable computed form: 0.39 eV per formula unit
* formation energy (no corrections): 0.00 eV per atom

Geometry as Quantum ESPRESSO input:
```
&SYSTEM
  ibrav = 0, nat = 8, ntyp = 3
/
ATOMIC_SPECIES
In 114.82 In.upf
Te 127.60 Te.upf
Au 196.97 Au.upf
CELL_PARAMETERS angstrom
8.099 0.000 0.000
0.000 8.118 0.000
-0.099 0.000 2.971
ATOMIC_POSITIONS crystal
In 0.000 0.000 0.000
In 0.500 0.500 0.000
Te 0.000 0.500 0.000
Te 0.500 0.000 0.000
Au 0.250 0.250 0.000
Au 0.250 0.750 0.000
Au 0.750 0.250 0.000
Au 0.750 0.750 0.000
```


8.
Below is an optimized crystal structure of In2TeAu, with properties calculated at the PBE-GGA level. Values from VASP.

Properties
* density of states at the Fermi level: 0.36 states/eV per atom
* formation energy (no corrections): 0.01 eV per atom

Geometry as Quantum ESPRESSO input:
```
&SYSTEM
  ibrav = 0, nat = 8, ntyp = 3
/
ATOMIC_SPECIES
In 114.82 In.upf
Te 127.60 Te.upf
Au 196.97 Au.upf
CELL_PARAMETERS angstrom
4.506 0.000 0.000
0.000 5.625 0.000
0.000 0.000 8.298
ATOMIC_POSITIONS crystal
In 0.000 0.000 0.000
In 0.000 0.500 0.293
In 0.500 0.000 0.293
In 0.500 0.500 0.000
Te 0.000 0.500 0.725
Te 0.500 0.000 0.725
Au 0.000 0.000 0.494
Au 0.500 0.500 0.494
```


9.
Below is an optimized crystal structure of InTeAu2, with properties calculated at the PBE-GGA level. Values from VASP.

Properties
* density of states at the Fermi level: 0.43 states/eV per atom
* offset from the most stable computed form: 0.00 eV per formula unit
* formation energy (no corrections): -0.10 eV per atom

Geometry as Quantum ESPRESSO input:
```
&SYSTEM
  ibrav = 0, nat = 4, ntyp = 3
/
ATOMIC_SPECIES
In 114.82 In.upf
Te 127.60 Te.upf
Au 196.97 Au.upf
CELL_PARAMETERS angstrom
4.098 0.000 0.000
0.000 4.103 0.000
-0.501 0.000 5.776
ATOMIC_POSITIONS crystal
In 0.000 0.000 0.000
Te 0.500 0.500 0.500
Au 0.000 0.000 0.500
Au 0.500 0.500 0.000
```


10.
Below is an optimized crystal structure of InTeAu2, with properties calculated at the PBE-GGA level. Values from VASP.

Properties
* density of states at the Fermi level: 0.37 states/eV per atom
* offset from the most stable computed form: 0.61 eV per formula unit
* formation energy (no corrections): 0.06 eV per atom

Geometry as Quantum ESPRESSO input:
```
&SYSTEM
  ibrav = 0, nat = 4, ntyp = 3
/
ATOMIC_SPECIES
In 114.82 In.upf
Te 127.60 Te.upf
Au 196.97 Au.upf
CELL_PARAMETERS angstrom
3.952 0.000 0.000
0.000 3.952 0.000
0.000 0.000 5.869
ATOMIC_POSITIONS crystal
In 0.000 0.000 0.000
Te 0.000 0.000 0.500
Au 0.500 0.500 0.242
Au 0.500 0.500 0.758
```


11.
Below is an optimized crystal structure of InTe2Au, with properties calculated at the PBE-GGA level. Values from VASP.

Properties
* density of states at the Fermi level: 0.49 states/eV per atom
* formation energy (no corrections): -0.07 eV per atom

Geometry as Quantum ESPRESSO input:
```
&SYSTEM
  ibrav = 0, nat = 16, ntyp = 3
/
ATOMIC_SPECIES
In 114.82 In.upf
Te 127.60 Te.upf
Au 196.97 Au.upf
CELL_PARAMETERS angstrom
9.968 0.000 0.000
0.000 4.321 0.000
-6.218 0.000 10.316
ATOMIC_POSITIONS crystal
In 0.112 0.222 0.213
In 0.112 0.278 0.713
In 0.888 0.722 0.287
In 0.888 0.778 0.787
Te 0.313 0.645 0.553
Te 0.313 0.855 0.053
Te 0.369 0.750 0.324
Te 0.369 0.750 0.824
Te 0.631 0.250 0.176
Te 0.631 0.250 0.676
Te 0.687 0.145 0.947
Te 0.687 0.355 0.447
Au 0.095 0.171 0.452
Au 0.095 0.329 0.952
Au 0.905 0.671 0.048
Au 0.905 0.829 0.548
```


12.
Below is an optimized crystal structure of In2Te3Au, with properties calculated at the PBE-GGA level. Values from VASP.

Properties
* density of states at the Fermi level: 0.14 states/eV per atom
* formation energy (no corrections): -0.11 eV per atom

Geometry as Quantum ESPRESSO input:
```
&SYSTEM
  ibrav = 0, nat = 12, ntyp = 3
/
ATOMIC_SPECIES
In 114.82 In.upf
Te 127.60 Te.upf
Au 196.97 Au.upf
CELL_PARAMETERS angstrom
7.071 -3.166 0.000
7.071 3.166 0.000
-4.552 0.000 8.644
ATOMIC_POSITIONS crystal
In 0.021 0.021 0.161
In 0.333 0.333 0.247
In 0.667 0.667 0.753
In 0.979 0.979 0.839
Te 0.139 0.139 0.730
Te 0.230 0.230 0.446
Te 0.466 0.466 0.792
Te 0.534 0.534 0.208
Te 0.770 0.770 0.554
Te 0.861 0.861 0.270
Au 0.337 0.337 0.962
Au 0.663 0.663 0.038
```


Results for E: -4.55; -5.18; -3.03; -3.07; -3.19; -3.21; -3.11; -2.96; -3.20; -3.05; -3.15; -3.14 (in eV per atom, following the order of the records).
Results for total magnetic moment: 1.20; 1.37; 0.00; 0.00; 0.00; 0.00; 0.00; 0.00; 0.00; 0.00; 0.00; 0.00 (in μB per formula unit, following the order of the records).